--- w ---
KCaH after structural relaxation, computed with PBE.

abc: 3.851 3.851 6.795
angles: 90.00 90.00 120.00
Element x y z (fractional)
K 0.000 0.000 0.000
Ca 0.333 0.667 0.478
H 0.667 0.333 0.294

Calculated values
M_tot ... 0.00 μB/f.u.

***

--- x ---
KCaH after structural relaxation, computed with PBE.

abc: 6.887 9.569 6.441
angles: 90.00 90.00 90.00
Element x y z (fractional)
K 0.048 0.152 0.000
K 0.452 0.152 0.500
K 0.548 0.848 0.000
K 0.952 0.848 0.500
Ca 0.096 0.578 0.037
Ca 0.404 0.578 0.537
Ca 0.596 0.422 0.037
Ca 0.904 0.422 0.537
H 0.100 0.587 0.393
H 0.400 0.587 0.893
H 0.600 0.413 0.393
H 0.900 0.413 0.893

Calculated values
M_tot ... 0.24 μB/f.u.

***

x is the most stable structure; the next one sits 0.025 eV/atom above it.

***

--- w ---
KCaH2 after structural relaxation, computed with PBE.

abc: 6.062 6.062 11.230
angles: 90.00 90.00 90.00
Element x y z (fractional)
K 0.000 0.000 0.000
K 0.000 0.500 0.250
K 0.500 0.000 0.750
K 0.500 0.500 0.500
Ca 0.000 0.000 0.500
Ca 0.000 0.500 0.750
Ca 0.500 0.000 0.250
Ca 0.500 0.500 0.000
H 0.114 0.250 0.625
H 0.250 0.614 0.875
H 0.250 0.886 0.375
H 0.386 0.250 0.125
H 0.614 0.750 0.125
H 0.750 0.114 0.375
H 0.750 0.386 0.875
H 0.886 0.750 0.625

Calculated values
M_tot ... 0.00 μB/f.u.

***

--- x ---
KCaH2 after structural relaxation, computed with PBE.

abc: 6.661 6.661 6.661
angles: 90.00 90.00 90.00
Element x y z (fractional)
K 0.000 0.000 0.000
K 0.000 0.500 0.500
K 0.500 0.000 0.500
K 0.500 0.500 0.000
Ca 0.000 0.000 0.500
Ca 0.000 0.500 0.000
Ca 0.500 0.000 0.000
Ca 0.500 0.500 0.500
H 0.250 0.250 0.250
H 0.250 0.250 0.750
H 0.250 0.750 0.250
H 0.250 0.750 0.750
H 0.750 0.250 0.250
H 0.750 0.250 0.750
H 0.750 0.750 0.250
H 0.750 0.750 0.750

Calculated values
M_tot ... 0.00 μB/f.u.

***

--- y ---
KCaH2 after structural relaxation, computed with PBE.

abc: 3.771 3.771 21.559
angles: 90.00 90.00 120.00
Element x y z (fractional)
K 0.000 0.000 0.000
K 0.333 0.667 0.667
K 0.667 0.333 0.333
Ca 0.000 0.000 0.500
Ca 0.333 0.667 0.167
Ca 0.667 0.333 0.833
H 0.000 0.000 0.210
H 0.000 0.000 0.790
H 0.333 0.667 0.457
H 0.333 0.667 0.877
H 0.667 0.333 0.123
H 0.667 0.333 0.543

Calculated values
M_tot ... 0.00 μB/f.u.

***

y is the most stable structure; the next one sits 0.036 eV/atom above it.

***

--- w ---
KCa2H2 after structural relaxation, computed with PBE.

abc: 8.223 8.223 4.425
angles: 90.00 90.00 90.00
Element x y z (fractional)
K 0.000 0.000 0.000
K 0.500 0.500 0.000
Ca 0.170 0.330 0.500
Ca 0.330 0.830 0.500
Ca 0.670 0.170 0.500
Ca 0.830 0.670 0.500
H 0.209 0.291 0.000
H 0.291 0.791 0.000
H 0.709 0.209 0.000
H 0.791 0.709 0.000

Calculated values
M_tot ... 0.00 μB/f.u.

***

--- x ---
KCa2H2 after structural relaxation, computed with PBE.

abc: 4.623 4.623 15.101
angles: 90.00 90.00 90.00
Element x y z (fractional)
K 0.000 0.000 0.000
K 0.500 0.500 0.500
Ca 0.000 0.500 0.250
Ca 0.000 0.500 0.750
Ca 0.500 0.000 0.250
Ca 0.500 0.000 0.750
H 0.000 0.000 0.287
H 0.000 0.000 0.713
H 0.500 0.500 0.213
H 0.500 0.500 0.787

Calculated values
M_tot ... 0.80 μB/f.u.

***

x is the most stable structure; the next one sits 0.022 eV/atom above it.

***

--- w ---
KSr2CaH after structural relaxation, computed with PBE.

abc: 5.968 5.968 5.502
angles: 90.00 90.00 90.00
Element x y z (fractional)
K 0.000 0.000 0.000
Sr 0.000 0.500 0.500
Sr 0.500 0.000 0.500
Ca 0.500 0.500 0.000
H 0.500 0.500 0.500

Calculated values
M_tot ... 0.00 μB/f.u.

***

--- x ---
KSr2CaH after structural relaxation, computed with PBE.

abc: 5.675 5.675 6.090
angles: 90.00 90.00 90.00
Element x y z (fractional)
K 0.000 0.000 0.000
Sr 0.000 0.500 0.500
Sr 0.500 0.000 0.500
Ca 0.500 0.500 0.000
H 0.000 0.000 0.500

Calculated values
M_tot ... 0.00 μB/f.u.

***

x is the most stable structure; the next one sits 0.029 eV/atom above it.

***

--- w ---
KCa2TlH after structural relaxation, computed with PBE.

abc: 5.217 5.217 5.515
angles: 90.00 90.00 90.00
Element x y z (fractional)
K 0.000 0.000 0.000
Ca 0.000 0.500 0.500
Ca 0.500 0.000 0.500
Tl 0.500 0.500 0.000
H 0.500 0.500 0.500

Calculated values
M_tot ... 0.00 μB/f.u.

***

--- x ---
KCa2TlH after structural relaxation, computed with PBE.

abc: 5.192 5.192 5.101
angles: 90.00 90.00 90.00
Element x y z (fractional)
K 0.000 0.000 0.000
Ca 0.000 0.500 0.500
Ca 0.500 0.000 0.500
Tl 0.500 0.500 0.000
H 0.000 0.000 0.500

Calculated values
M_tot ... 0.00 μB/f.u.

***

x is the most stable structure; the next one sits 0.193 eV/atom above it.

***

--- w ---
Ca2LaH after structural relaxation, computed with PBE.

abc: 8.169 8.169 8.169
angles: 90.00 90.00 90.00
Element x y z (fractional)
Ca 0.250 0.250 0.250
Ca 0.250 0.250 0.750
Ca 0.250 0.750 0.250
Ca 0.250 0.750 0.750
Ca 0.750 0.250 0.250
Ca 0.750 0.250 0.750
Ca 0.750 0.750 0.250
Ca 0.750 0.750 0.750
La 0.000 0.000 0.000
La 0.000 0.500 0.500
La 0.500 0.000 0.500
La 0.500 0.500 0.000
H 0.000 0.000 0.500
H 0.000 0.500 0.000
H 0.500 0.000 0.000
H 0.500 0.500 0.500

Calculated values
M_tot ... 2.23 μB/f.u.

***

--- x ---
Ca2LaH after structural relaxation, computed with PBE.

abc: 7.138 7.138 10.090
angles: 90.00 90.00 90.00
Element x y z (fractional)
Ca 0.004 0.250 0.125
Ca 0.250 0.504 0.375
Ca 0.250 0.996 0.875
Ca 0.496 0.250 0.625
Ca 0.504 0.750 0.625
Ca 0.750 0.004 0.875
Ca 0.750 0.496 0.375
Ca 0.996 0.750 0.125
La 0.000 0.000 0.500
La 0.000 0.500 0.750
La 0.500 0.000 0.250
La 0.500 0.500 0.000
H 0.000 0.000 0.000
H 0.000 0.500 0.250
H 0.500 0.000 0.750
H 0.500 0.500 0.500

Calculated values
M_tot ... 0.22 μB/f.u.

***

--- y ---
Ca2LaH after structural relaxation, computed with PBE.

abc: 3.609 3.609 30.156
angles: 90.00 90.00 120.00
Element x y z (fractional)
Ca 0.000 0.000 0.117
Ca 0.000 0.000 0.883
Ca 0.333 0.667 0.549
Ca 0.333 0.667 0.784
Ca 0.667 0.333 0.216
Ca 0.667 0.333 0.451
La 0.000 0.000 0.000
La 0.333 0.667 0.667
La 0.667 0.333 0.333
H 0.000 0.000 0.500
H 0.333 0.667 0.167
H 0.667 0.333 0.833

Calculated values
M_tot ... 0.00 μB/f.u.

***

--- z ---
Ca2LaH after structural relaxation, computed with PBE.

abc: 3.705 3.705 28.419
angles: 90.00 90.00 120.00
Element x y z (fractional)
Ca 0.000 0.000 0.000
Ca 0.000 0.000 0.226
Ca 0.333 0.667 0.667
Ca 0.333 0.667 0.893
Ca 0.667 0.333 0.333
Ca 0.667 0.333 0.560
La 0.000 0.000 0.781
La 0.333 0.667 0.447
La 0.667 0.333 0.114
H 0.000 0.000 0.615
H 0.333 0.667 0.282
H 0.667 0.333 0.948

Calculated values
M_tot ... 0.00 μB/f.u.

***

z is the most stable structure; the next one sits 0.064 eV/atom above it.

***

--- w ---
CaLaMg2H after structural relaxation, computed with PBE.

abc: 5.933 5.933 6.281
angles: 90.00 90.00 90.00
Element x y z (fractional)
Ca 0.000 0.000 0.000
La 0.000 0.000 0.500
Mg 0.000 0.500 0.000
Mg 0.500 0.000 0.000
H 0.500 0.500 0.500

Calculated values
M_tot ... 1.70 μB/f.u.

***

--- x ---
CaLaMg2H after structural relaxation, computed with PBE.

abc: 5.275 5.275 4.552
angles: 90.00 90.00 90.00
Element x y z (fractional)
Ca 0.000 0.000 0.000
La 0.500 0.500 0.000
Mg 0.000 0.500 0.500
Mg 0.500 0.000 0.500
H 0.500 0.500 0.500

Calculated values
M_tot ... 0.00 μB/f.u.

***

x is the most stable structure; the next one sits 1.404 eV/atom above it.

***

--- w ---
SrCaLa2H after structural relaxation, computed with PBE.

abc: 5.303 5.303 5.694
angles: 90.00 90.00 90.00
Element x y z (fractional)
Sr 0.000 0.000 0.000
Ca 0.500 0.500 0.000
La 0.000 0.500 0.500
La 0.500 0.000 0.500
H 0.500 0.500 0.500

Calculated values
M_tot ... 0.00 μB/f.u.

***

--- x ---
SrCaLa2H after structural relaxation, computed with PBE.

abc: 5.276 5.276 5.783
angles: 90.00 90.00 90.00
Element x y z (fractional)
Sr 0.000 0.000 0.000
Ca 0.500 0.500 0.000
La 0.000 0.500 0.500
La 0.500 0.000 0.500
H 0.000 0.000 0.500

Calculated values
M_tot ... 0.00 μB/f.u.

***

x is the most stable structure; the next one sits 0.013 eV/atom above it.

***

--- w ---
SrCa2LaH after structural relaxation, computed with PBE.

abc: 5.301 5.301 5.825
angles: 90.00 90.00 90.00
Element x y z (fractional)
Sr 0.000 0.000 0.000
Ca 0.000 0.500 0.500
Ca 0.500 0.000 0.500
La 0.500 0.500 0.000
H 0.000 0.000 0.500

Calculated values
M_tot ... 0.23 μB/f.u.

***

--- x ---
SrCa2LaH after structural relaxation, computed with PBE.

abc: 5.937 5.937 4.778
angles: 90.00 90.00 90.00
Element x y z (fractional)
Sr 0.000 0.000 0.000
Ca 0.000 0.500 0.500
Ca 0.500 0.000 0.500
La 0.500 0.500 0.000
H 0.500 0.500 0.500

Calculated values
M_tot ... 0.00 μB/f.u.

***

x is the most stable structure; the next one sits 0.051 eV/atom above it.

***

--- w ---
Sr2CaLaH after structural relaxation, computed with PBE.

abc: 6.099 6.099 4.806
angles: 90.00 90.00 90.00
Element x y z (fractional)
Sr 0.000 0.500 0.000
Sr 0.500 0.000 0.000
Ca 0.000 0.000 0.500
La 0.500 0.500 0.500
H 0.500 0.500 0.000

Calculated values
M_tot ... 0.00 μB/f.u.

***

--- x ---
Sr2CaLaH after structural relaxation, computed with PBE.

abc: 6.077 6.077 4.708
angles: 90.00 90.00 90.00
Element x y z (fractional)
Sr 0.000 0.500 0.000
Sr 0.500 0.000 0.000
Ca 0.000 0.000 0.500
La 0.500 0.500 0.500
H 0.000 0.000 0.000

Calculated values
M_tot ... 0.00 μB/f.u.

***

w is the most stable structure; the next one sits 0.036 eV/atom above it.

***

--- w ---
Ca2LaYH after structural relaxation, computed with PBE.

abc: 5.728 5.728 4.516
angles: 90.00 90.00 90.00
Element x y z (fractional)
Ca 0.000 0.500 0.000
Ca 0.500 0.000 0.000
La 0.000 0.000 0.500
Y 0.500 0.500 0.500
H 0.500 0.500 0.000

Calculated values
M_tot ... 0.00 μB/f.u.

***

--- x ---
Ca2LaYH after structural relaxation, computed with PBE.

abc: 5.156 5.156 5.421
angles: 90.00 90.00 90.00
Element x y z (fractional)
Ca 0.000 0.500 0.000
Ca 0.500 0.000 0.000
La 0.000 0.000 0.500
Y 0.500 0.500 0.500
H 0.000 0.000 0.000

Calculated values
M_tot ... 0.00 μB/f.u.

***

x is the most stable structure; the next one sits 0.027 eV/atom above it.

***

--- w ---
CaLa2YH after structural relaxation, computed with PBE.

abc: 5.286 5.286 5.128
angles: 90.00 90.00 90.00
Element x y z (fractional)
Ca 0.000 0.000 0.000
La 0.000 0.500 0.500
La 0.500 0.000 0.500
Y 0.500 0.500 0.000
H 0.000 0.000 0.500

Calculated values
M_tot ... 0.00 μB/f.u.

***

--- x ---
CaLa2YH after structural relaxation, computed with PBE.

abc: 5.307 5.307 5.118
angles: 90.00 90.00 90.00
Element x y z (fractional)
Ca 0.000 0.000 0.000
La 0.000 0.500 0.500
La 0.500 0.000 0.500
Y 0.500 0.500 0.000
H 0.500 0.500 0.500

Calculated values
M_tot ... 0.00 μB/f.u.

***

w is the most stable structure; the next one sits 0.013 eV/atom above it.